The following is a DFT calculation (PBE) of an optimized crystal structure of NbFe2Mo.

Geometry as POSCAR:
```
NbFe2Mo
1.0
4.268 0.000 0.000
0.000 4.268 0.000
0.000 0.000 3.096
Nb Fe Mo
1 2 1
Direct
0.000 0.000 0.000 Nb
0.000 0.500 0.500 Fe
0.500 0.000 0.500 Fe
0.500 0.500 0.000 Mo
```

- space group = P4/mmm
- E_form (eV per atom) = 0.076

The following is a DFT calculation (PBE) of an optimized crystal structure of NbFeMoOs2.

Geometry as POSCAR:
```
NbFeMoOs2
1.0
4.385 0.000 0.000
0.000 4.385 0.000
0.000 0.000 4.466
Nb Fe Mo Os
1 1 1 2
Direct
0.000 0.000 0.000 Nb
0.000 0.000 0.500 Fe
0.500 0.500 0.000 Mo
0.000 0.500 0.500 Os
0.500 0.000 0.500 Os
```

- space group = P4/mmm
- E_form (eV per atom) = 1.317

The following is a DFT calculation (PBE) of an optimized crystal structure of NbFeMoRu.

Geometry as POSCAR:
```
NbFeMoRu
1.0
6.223 0.000 0.000
0.000 6.223 0.000
0.000 0.000 6.223
Nb Fe Mo Ru
4 4 4 4
Direct
0.000 0.000 0.000 Nb
0.000 0.500 0.500 Nb
0.500 0.000 0.500 Nb
0.500 0.500 0.000 Nb
0.000 0.000 0.500 Fe
0.000 0.500 0.000 Fe
0.500 0.000 0.000 Fe
0.500 0.500 0.500 Fe
0.250 0.250 0.250 Mo
0.250 0.750 0.750 Mo
0.750 0.250 0.750 Mo
0.750 0.750 0.250 Mo
0.250 0.250 0.750 Ru
0.250 0.750 0.250 Ru
0.750 0.250 0.250 Ru
0.750 0.750 0.750 Ru
```

- space group = F-43m
- E_form (eV per atom) = 0.038

Number 1: energy -37.52 eV per cell, DOS at the Fermi energy 4.65 states/eV/f.u.. Number 2: energy -45.24 eV per cell, DOS at the Fermi energy 7.25 states/eV/f.u.. Number 3: energy -153.94 eV per cell, DOS at the Fermi energy 3.64 states/eV/f.u..